TaTiNi4 | GGA-PBE | relaxed

Cell lengths 2.663, 4.191, 7.216 Å; angles 90.00, 90.00, 90.00 degrees
Space group Pmmm (No. 47)
Symmetry-distinct sites (fractional):
Ta (0.000, 0.000, 0.000)
Ti (0.500, 0.500, 0.500)
Ni (0.000, 0.500, 0.193)
Ni (0.500, 0.000, 0.315)

## Properties
* energy: -7.22 eV/atom
* ΔH_f (0 K): -0.476 eV/f.u.
* total magnetic moment: 0.00 μB per cell
* offset from the most stable computed form: 212 meV per atom


TaTi3Ni2 | GGA-PBE | relaxed

Cell lengths 2.930, 2.930, 10.501 Å; angles 90.00, 90.00, 90.00 degrees
Space group P4/mmm (No. 123)
Symmetry-distinct sites (fractional):
Ta (0.000, 0.000, 0.000)
Ti (0.500, 0.500, 0.196)
Ti (0.500, 0.500, 0.500)
Ni (0.000, 0.000, 0.347)

## Properties
* energy: -8.08 eV/atom
* ΔH_f (0 K): -1.387 eV/f.u.
* total magnetic moment: 0.00 μB per cell


TaTiNi2 | GGA-PBE | relaxed

Cell lengths 2.945, 2.945, 6.443 Å; angles 90.00, 90.00, 90.00 degrees
Space group P4/mmm (No. 123)
Symmetry-distinct sites (fractional):
Ta (0.000, 0.000, 0.000)
Ti (0.000, 0.000, 0.500)
Ni (0.500, 0.500, 0.281)

## Properties
* energy: -8.09 eV/atom
* ΔH_f (0 K): -1.060 eV/f.u.
* total magnetic moment: 0.00 μB per cell


TaTi3Ni6 | GGA-PBE | relaxed

Cell lengths 8.242, 3.754, 8.432 Å; angles 90.00, 91.59, 90.00 degrees
Space group P2_1/m (No. 11)
Symmetry-distinct sites (fractional):
Ta (0.059, 0.250, 0.380)
Ti (0.246, 0.250, 0.014)
Ti (0.348, 0.750, 0.797)
Ti (0.453, 0.250, 0.601)
Ni (0.053, 0.750, 0.906)
Ni (0.143, 0.250, 0.705)
Ni (0.156, 0.750, 0.195)
Ni (0.241, 0.750, 0.499)
Ni (0.353, 0.250, 0.297)
Ni (0.451, 0.750, 0.097)

## Properties
* energy: -7.32 eV/atom
* ΔH_f (0 K): -3.024 eV/f.u.
* total magnetic moment: 1.43 μB per cell


TaTiNi4 | GGA-PBE | relaxed

Cell lengths 8.630, 4.187, 5.206 Å; angles 90.00, 125.23, 90.00 degrees
Space group C2/m (No. 12)
Symmetry-distinct sites (fractional):
Ta (0.000, 0.000, 0.000)
Ti (0.000, 0.000, 0.500)
Ni (0.162, 0.500, 0.497)
Ni (0.169, 0.500, 0.003)

## Properties
* energy: -7.38 eV/atom
* ΔH_f (0 K): -1.417 eV/f.u.
* total magnetic moment: 0.00 μB per cell
* offset from the most stable computed form: 55 meV per atom


TaTiVNi | GGA-PBE | relaxed

Cell lengths 6.164, 6.164, 6.164 Å; angles 90.00, 90.00, 90.00 degrees
Space group F-43m (No. 216)
Symmetry-distinct sites (fractional):
Ta (0.000, 0.000, 0.000)
Ti (0.000, 0.000, 0.500)
V (0.250, 0.250, 0.250)
Ni (0.250, 0.250, 0.750)

## Properties
* energy: -8.74 eV/atom
* ΔH_f (0 K): -0.308 eV/f.u.
* total magnetic moment: 0.16 μB per cell


TaTi2Zn2Ni2 | GGA-PBE | relaxed

Cell lengths 7.389, 4.267, 7.065 Å; angles 90.00, 110.58, 90.00 degrees
Space group C2/m (No. 12)
Symmetry-distinct sites (fractional):
Ta (0.000, 0.000, 0.000)
Ti (0.102, 0.500, 0.805)
Zn (0.139, 0.000, 0.415)
Ni (0.238, 0.500, 0.214)

## Properties
* energy: -6.15 eV/atom
* ΔH_f (0 K): -1.320 eV/f.u.
* total magnetic moment: 0.00 μB per cell


ZrTa2TiNi | GGA-PBE | relaxed

Cell lengths 4.740, 4.740, 4.387 Å; angles 90.00, 90.00, 90.00 degrees
Space group P4/mmm (No. 123)
Symmetry-distinct sites (fractional):
Zr (0.000, 0.000, 0.000)
Ta (0.000, 0.500, 0.500)
Ti (0.500, 0.500, 0.500)
Ni (0.500, 0.500, 0.000)

## Properties
* energy: -8.26 eV/atom
* ΔH_f (0 K): 4.633 eV/f.u.
* total magnetic moment: 0.00 μB per cell


TaTl2Ni | GGA-PBE | relaxed

Cell lengths 3.177, 3.177, 8.352 Å; angles 90.00, 90.00, 90.00 degrees
Space group P4mm (No. 99)
Symmetry-distinct sites (fractional):
Ta (0.000, 0.000, 0.000)
Tl (0.000, 0.000, 0.599)
Tl (0.500, 0.500, 0.265)
Ni (0.500, 0.500, 0.852)

## Properties
* energy: -5.29 eV/atom
* ΔH_f (0 K): 1.187 eV/f.u.
* total magnetic moment: 0.00 μB per cell


Ta2TlNi | GGA-PBE | relaxed

Cell lengths 3.371, 3.371, 6.299 Å; angles 90.00, 90.00, 90.00 degrees
Space group P4mm (No. 99)
Symmetry-distinct sites (fractional):
Ta (0.000, 0.000, 0.000)
Ta (0.500, 0.500, 0.232)
Tl (0.000, 0.000, 0.531)
Ni (0.500, 0.500, 0.783)

## Properties
* energy: -7.69 eV/atom
* ΔH_f (0 K): 1.103 eV/f.u.
* total magnetic moment: 0.00 μB per cell
* offset from the most stable computed form: 54 meV per atom


Ta2TlNi | GGA-PBE | relaxed

Cell lengths 6.549, 6.549, 6.549 Å; angles 90.00, 90.00, 90.00 degrees
Space group Fm-3m (No. 225)
Symmetry-distinct sites (fractional):
Ta (0.250, 0.250, 0.250)
Tl (0.000, 0.000, 0.000)
Ni (0.000, 0.000, 0.500)

## Properties
* energy: -7.39 eV/atom
* ΔH_f (0 K): 2.280 eV/f.u.
* total magnetic moment: 0.00 μB per cell
* offset from the most stable computed form: 348 meV per atom


Ta2TlNi | GGA-PBE | relaxed

Cell lengths 5.696, 8.288, 2.966 Å; angles 90.00, 90.16, 90.00 degrees
Space group C2/m (No. 12)
Symmetry-distinct sites (fractional):
Ta (0.250, 0.250, 0.000)
Tl (0.000, 0.000, 0.500)
Ni (0.000, 0.500, 0.500)

## Properties
* energy: -7.57 eV/atom
* ΔH_f (0 K): 1.560 eV/f.u.
* total magnetic moment: 0.00 μB per cell
* offset from the most stable computed form: 168 meV per atom


TaTl2Ni | GGA-PBE | relaxed

Cell lengths 4.246, 4.246, 8.658 Å; angles 90.00, 90.00, 90.00 degrees
Space group I4/mmm (No. 139)
Symmetry-distinct sites (fractional):
Ta (0.000, 0.000, 0.000)
Tl (0.000, 0.500, 0.250)
Ni (0.000, 0.000, 0.500)

## Properties
* energy: -4.82 eV/atom
* ΔH_f (0 K): 3.087 eV/f.u.
* total magnetic moment: 3.03 μB per cell


Ta2TlNi | GGA-PBE | relaxed

Cell lengths 2.967, 2.967, 8.041 Å; angles 90.00, 90.00, 90.00 degrees
Space group P4mm (No. 99)
Symmetry-distinct sites (fractional):
Ta (0.000, 0.000, 0.000)
Ta (0.500, 0.500, 0.270)
Tl (0.000, 0.000, 0.561)
Ni (0.500, 0.500, 0.800)

## Properties
* energy: -7.74 eV/atom
* ΔH_f (0 K): 0.888 eV/f.u.
* total magnetic moment: 0.00 μB per cell
* offset from the most stable computed form: 0 meV per atom


TaTl2Ni | GGA-PBE | relaxed

Cell lengths 3.138, 3.164, 8.540 Å; angles 90.00, 100.54, 90.00 degrees
Space group Pm (No. 6)
Symmetry-distinct sites (fractional):
Ta (0.000, 0.000, 0.000)
Tl (0.200, 0.000, 0.392)
Tl (0.366, 0.500, 0.735)
Ni (0.577, 0.500, 0.154)

## Properties
* energy: -5.32 eV/atom
* ΔH_f (0 K): 1.088 eV/f.u.
* total magnetic moment: 0.00 μB per cell


TaTlNi | GGA-PBE | relaxed

Cell lengths 3.073, 3.073, 11.153 Å; angles 90.00, 90.00, 90.00 degrees
Space group I4mm (No. 107)
Symmetry-distinct sites (fractional):
Ta (0.000, 0.000, 0.000)
Tl (0.000, 0.000, 0.704)
Ni (0.000, 0.000, 0.376)

## Properties
* energy: -6.43 eV/atom
* ΔH_f (0 K): 0.719 eV/f.u.
* total magnetic moment: 0.00 μB per cell


TaTlNi6 | GGA-PBE | relaxed

Cell lengths 7.442, 10.548, 10.578 Å; angles 90.00, 90.00, 90.00 degrees
Space group Cmmm (No. 65)
Symmetry-distinct sites (fractional):
Ta (0.000, 0.000, 0.250)
Ta (0.000, 0.247, 0.000)
Tl (0.000, 0.253, 0.500)
Tl (0.000, 0.500, 0.249)
Ni (0.000, 0.000, 0.000)
Ni (0.000, 0.000, 0.500)
Ni (0.000, 0.245, 0.241)
Ni (0.000, 0.500, 0.000)
Ni (0.000, 0.500, 0.500)
Ni (0.241, 0.122, 0.369)
Ni (0.245, 0.127, 0.120)

## Properties
* energy: -6.22 eV/atom
* ΔH_f (0 K): -0.821 eV/f.u.
* total magnetic moment: 0.00 μB per cell


TaTl2Ni | GGA-PBE | relaxed

Cell lengths 3.121, 3.121, 7.688 Å; angles 90.00, 90.00, 90.00 degrees
Space group P4/mmm (No. 123)
Symmetry-distinct sites (fractional):
Ta (0.000, 0.000, 0.000)
Tl (0.500, 0.500, 0.279)
Ni (0.000, 0.000, 0.500)

## Properties
* energy: -5.07 eV/atom
* ΔH_f (0 K): 2.104 eV/f.u.
* total magnetic moment: 0.00 μB per cell


Ta2TlNi | GGA-PBE | relaxed

Cell lengths 2.939, 2.939, 8.082 Å; angles 90.00, 90.00, 90.00 degrees
Space group P4/mmm (No. 123)
Symmetry-distinct sites (fractional):
Ta (0.000, 0.000, 0.208)
Tl (0.500, 0.500, 0.500)
Ni (0.500, 0.500, 0.000)

## Properties
* energy: -7.72 eV/atom
* ΔH_f (0 K): 0.956 eV/f.u.
* total magnetic moment: 0.00 μB per cell
* offset from the most stable computed form: 17 meV per atom


TaTl2Ni | GGA-PBE | relaxed

Cell lengths 3.174, 5.385, 9.288 Å; angles 90.00, 90.00, 90.00 degrees
Space group Cmmm (No. 65)
Symmetry-distinct sites (fractional):
Ta (0.000, 0.000, 0.000)
Tl (0.000, 0.500, 0.273)
Ni (0.000, 0.000, 0.500)

## Properties
* energy: -5.03 eV/atom
* ΔH_f (0 K): 2.241 eV/f.u.
* total magnetic moment: 0.00 μB per cell


Ta2TlNi | GGA-PBE | relaxed

Cell lengths 2.9946, 2.9946, 27.8007 Å; angles 90.00, 90.00, 120.00 degrees
Space group R-3m (No. 166, hexagonal axes)
Symmetry-distinct sites (fractional):
Ta (0.0000, 0.0000, 0.2405)
Tl (0.0000, 0.0000, 0.0000)
Ni (0.0000, 0.0000, 0.5000)

## Properties
* energy: -7.54 eV/atom
* ΔH_f (0 K): 1.695 eV/f.u.
* total magnetic moment: 0.00 μB per cell
* offset from the most stable computed form: 202 meV per atom


TaTlNi | GGA-PBE | relaxed

Cell lengths 4.4753, 4.4753, 2.9711 Å; angles 90.00, 90.00, 120.00 degrees
Space group P3m1 (No. 156)
Symmetry-distinct sites (fractional):
Ta (0.0000, 0.0000, 0.0000)
Tl (0.6667, 0.3333, 0.5000)
Ni (0.3333, 0.6667, 0.5029)

## Properties
* energy: -6.25 eV/atom
* ΔH_f (0 K): 1.240 eV/f.u.
* total magnetic moment: 0.00 μB per cell


TaTl2Ni | GGA-PBE | relaxed

Cell lengths 3.073, 4.396, 5.821 Å; angles 90.00, 97.22, 90.00 degrees
Space group P2/m (No. 10)
Symmetry-distinct sites (fractional):
Ta (0.000, 0.000, 0.000)
Tl (0.345, 0.500, 0.740)
Ni (0.500, 0.000, 0.500)

## Properties
* energy: -4.98 eV/atom
* ΔH_f (0 K): 2.433 eV/f.u.
* total magnetic moment: 0.00 μB per cell


Ta2TlNi | GGA-PBE | relaxed

Cell lengths 6.589, 6.589, 6.589 Å; angles 90.00, 90.00, 90.00 degrees
Space group F-43m (No. 216)
Symmetry-distinct sites (fractional):
Ta (0.000, 0.000, 0.000)
Ta (0.250, 0.250, 0.250)
Tl (0.000, 0.000, 0.500)
Ni (0.250, 0.250, 0.750)

## Properties
* energy: -7.37 eV/atom
* ΔH_f (0 K): 2.375 eV/f.u.
* total magnetic moment: 0.00 μB per cell
* offset from the most stable computed form: 372 meV per atom


TaTl2Ni | GGA-PBE | relaxed

Cell lengths 6.830, 6.830, 6.830 Å; angles 90.00, 90.00, 90.00 degrees
Space group F-43m (No. 216)
Symmetry-distinct sites (fractional):
Ta (0.000, 0.000, 0.000)
Tl (0.000, 0.000, 0.500)
Tl (0.250, 0.250, 0.750)
Ni (0.250, 0.250, 0.250)

## Properties
* energy: -4.73 eV/atom
* ΔH_f (0 K): 3.453 eV/f.u.
* total magnetic moment: 2.09 μB per cell


TaTl2Ni | GGA-PBE | relaxed

Cell lengths 11.940, 3.089, 4.873 Å; angles 90.00, 113.96, 90.00 degrees
Space group Cm (No. 8)
Symmetry-distinct sites (fractional):
Ta (0.000, 0.000, 0.000)
Tl (0.226, 0.000, 0.732)
Tl (0.440, 0.000, 0.441)
Ni (0.181, 0.500, 0.188)

## Properties
* energy: -5.10 eV/atom
* ΔH_f (0 K): 1.976 eV/f.u.
* total magnetic moment: 0.22 μB per cell


TaTl2Ni | GGA-PBE | relaxed

Cell lengths 3.164, 4.822, 5.221 Å; angles 90.00, 90.00, 90.00 degrees
Space group Pmmm (No. 47)
Symmetry-distinct sites (fractional):
Ta (0.000, 0.000, 0.000)
Tl (0.000, 0.500, 0.500)
Tl (0.500, 0.500, 0.000)
Ni (0.500, 0.000, 0.500)

## Properties
* energy: -4.91 eV/atom
* ΔH_f (0 K): 2.723 eV/f.u.
* total magnetic moment: 0.00 μB per cell